SrZrAsO | GGA-PBE | optimized geometry

Summary:
Excess energy over the best structure of this formula in the dataset: 373 meV/atom
Space group: P4/nmm (129)
Total magnetic moment: 0.3 μB/cell
Volume: 192.5 Å³ per cell

Cell lengths 4.5838, 4.5838, 9.1615 Å; angles 90.00, 90.00, 90.00 degrees
Sites, in units of the cell vectors:
Sr 0.2500 0.2500 0.0920
Sr 0.7500 0.7500 0.9080
Zr 0.2500 0.7500 0.5000
Zr 0.7500 0.2500 0.5000
As 0.2500 0.2500 0.6504
As 0.7500 0.7500 0.3496
O 0.2500 0.7500 0.0000
O 0.7500 0.2500 0.0000